Compound: MgPaZnNi
Source: the Alexandria database
Functional: PBE-GGA
Structure: relaxed

Calculated values
Total energy ... -18.58 eV for the cell shown
Space-group type ... F-43m, No. 216
Formation enthalpy at 0 K ... -0.436 eV per formula unit

abc: 4.706 4.706 4.706
angles: 60.00 60.00 60.00
Positions (direct):
1 Mg 0.000 0.000 0.000
2 Pa 0.500 0.500 0.500
3 Zn 0.250 0.250 0.250
4 Ni 0.750 0.750 0.750